Cr2SiPb (GGA-PBE, relaxed); DOS at the Fermi energy = 4.4 states/eV/f.u.; energy relative to the elements, uncorrected = 0.36 eV/atom; space-group type = P4/mmm (123); calculated total energy = -6.7317 eV per atom; energy relative to the lowest polymorph listed for this composition = 0.110 eV per formula unit; mass density = 8.39 g/cm³; calculated volume = 16.80 Å³ per atom
1.0
3.140 0.000 0.000
0.000 3.140 0.000
0.000 0.000 6.815
Cr Si Pb
2 1 1
direct
0.000 0.000 0.154
0.000 0.000 0.846
0.500 0.500 0.000
0.500 0.500 0.500

Cr2SiPb (GGA-PBE, relaxed); DOS at the Fermi energy = 2.0 states/eV/f.u.; energy relative to the elements, uncorrected = 0.54 eV/atom; space-group type = I-4m2 (119); calculated total energy = -6.5509 eV per atom; energy relative to the lowest polymorph listed for this composition = 0.833 eV per formula unit; mass density = 8.22 g/cm³; calculated volume = 17.13 Å³ per atom
1.0
3.834 0.000 0.000
0.000 3.834 0.000
0.000 0.000 9.324
Cr Si Pb
4 2 2
direct
0.000 0.000 0.000
0.000 0.500 0.250
0.500 0.000 0.750
0.500 0.500 0.500
0.000 0.000 0.500
0.500 0.500 0.000
0.000 0.500 0.750
0.500 0.000 0.250

Cr2SiPb (GGA-PBE, relaxed); DOS at the Fermi energy = 3.4 states/eV/f.u.; energy relative to the elements, uncorrected = 0.60 eV/atom; space-group type = P4/mmm (123); calculated total energy = -6.4922 eV per atom; energy relative to the lowest polymorph listed for this composition = 1.068 eV per formula unit; mass density = 8.58 g/cm³; calculated volume = 16.42 Å³ per atom
1.0
4.207 0.000 0.000
0.000 4.207 0.000
0.000 0.000 3.710
Cr Si Pb
2 1 1
direct
0.000 0.500 0.000
0.500 0.000 0.000
0.000 0.000 0.500
0.500 0.500 0.500

Cr2SiPb (GGA-PBE, relaxed); DOS at the Fermi energy = 3.0 states/eV/f.u.; energy relative to the elements, uncorrected = 0.63 eV/atom; space-group type = Cmmm (65); calculated total energy = -6.4628 eV per atom; energy relative to the lowest polymorph listed for this composition = 1.185 eV per formula unit; mass density = 8.59 g/cm³; calculated volume = 16.40 Å³ per atom
1.0
5.936 0.000 0.000
0.000 7.342 0.000
0.000 0.000 3.011
Cr Si Pb
4 2 2
direct
0.250 0.250 0.000
0.250 0.750 0.000
0.750 0.250 0.000
0.750 0.750 0.000
0.000 0.000 0.500
0.500 0.500 0.500
0.000 0.500 0.500
0.500 0.000 0.500